(1)
An optimized crystal structure of CeYFe. Source: Alexandria via LeMat-Bulk, functional PBE.

Geometry as POSCAR:
```
CeYFe
1.0
-1.0727 -0.4687 3.1368
0.1535 -3.3152 -0.4428
6.4695 1.8957 0.7087
Y Fe Ce
1 1 1
direct
0.2985 0.2985 0.5969
0.6596 0.6596 0.3193
0.0419 0.0419 0.0838
```

Properties
* M_tot: 0.08 μB/f.u.
* E: -6.87 eV per atom
* ΔE to the lowest computed polymorph: 161 meV/atom
* formation energy from the elements: 80 meV/atom

=====

(2)
An optimized crystal structure of CeYFe. Source: Alexandria via LeMat-Bulk, functional PBE.

Geometry as POSCAR:
```
CeYFe
1.0
-4.4300 -2.3390 0.2236
0.4848 -0.5385 3.9714
-1.8258 3.3264 -1.3779
Y Fe Ce
1 1 1
direct
0.6668 0.3333 0.6667
0.1664 0.0000 0.0000
0.1668 0.6667 0.3333
```

Properties
* M_tot: 0.00 μB/f.u.
* E: -6.91 eV per atom
* ΔE to the lowest computed polymorph: 127 meV/atom
* formation energy from the elements: 46 meV/atom

=====

(3)
An optimized crystal structure of CeYFe. Source: Alexandria via LeMat-Bulk, functional PBE.

Geometry as POSCAR:
```
CeYFe
1.0
3.7025 0.0000 0.0000
0.0000 6.0627 0.0000
0.0000 0.0000 12.9019
Ce Y Fe
4 4 4
direct
0.7500 0.6226 0.3534
0.7500 0.1226 0.1466
0.2500 0.8774 0.8534
0.2500 0.3774 0.6466
0.7500 0.8696 0.5996
0.7500 0.3696 0.9004
0.2500 0.6304 0.0996
0.2500 0.1304 0.4004
0.2500 0.6399 0.4630
0.7500 0.3601 0.5370
0.7500 0.8601 0.9630
0.2500 0.1399 0.0370
```

Properties
* M_tot: 0.00 μB/f.u.
* E: -7.03 eV per atom
* ΔE to the lowest computed polymorph: 0 meV/atom
* formation energy from the elements: -81 meV/atom